Entry 1:
Below is CdPbS3 after structural relaxation, with properties calculated at the PBE-GGA level.

## Properties
As for the density of states at the Fermi level: 3.88 states/eV/f.u. Its uncorrected formation energy is 214 meV/atom. The value obtained for the total magnetic moment is 0.0 μB per formula unit.

Lattice parameters (Å, degrees): 4.9862 4.9862 4.9862 90.00 90.00 90.00
Last column: nearest neighbours and their distance in Å.
Space group Pm-3m (No. 221)
Symmetry-distinct sites (fractional):
Cd 0.0000 0.0000 0.0000 x1  6 S 2.49
Pb 0.5000 0.5000 0.5000 x1  12 S 3.53
S 0.0000 0.0000 0.5000 x3  2 Cd 2.49


Entry 2:
Below is TlPtSCl2 after structural relaxation, with properties calculated at the PBE-GGA level.

## Properties
As for the density of states at the Fermi level: 3.61 states/eV/f.u. Its uncorrected formation energy is -300 meV/atom. The value obtained for the total magnetic moment is 0.0 μB per formula unit.

Lattice parameters (Å, degrees): 5.2035 5.2035 4.5436 90.00 90.00 90.00
Last column: nearest neighbours and their distance in Å.
Space group P4/mmm (No. 123)
Symmetry-distinct sites (fractional):
Tl 0.0000 0.0000 0.0000 x1  8 Cl 3.45, 4 S 3.68
Pt 0.5000 0.5000 0.5000 x1  2 S 2.27
S 0.5000 0.5000 0.0000 x1  2 Pt 2.27
Cl 0.0000 0.5000 0.5000 x2  2 Pt 2.60


Entry 3:
Below is LiTbHgPd after structural relaxation, with properties calculated at the PBE-GGA level.

## Properties
As for the density of states at the Fermi level: 1.91 states/eV/f.u. The formation energy is -0.527 eV per atom. The value obtained for the total magnetic moment is 0.0 μB per formula unit.

Lattice parameters (Å, degrees): 7.9776 4.5690 5.2658 90.00 119.97 90.00
Last column: nearest neighbours and their distance in Å.
Space group Cm (No. 8)
Symmetry-distinct sites (fractional):
Li 0.0000 0.0000 0.0000 x2  3 Pd 2.70-2.72, 3 Hg 2.80-2.82
Tb 0.4853 0.0000 0.4569 x2  4 Hg 3.01-3.07, 4 Pd 3.05, 2 Li 3.36
Hg 0.2660 0.0000 0.7964 x2  3 Li 2.80-2.82, 4 Tb 3.01-3.07, 3 Pd 3.04-3.05
Pd 0.2074 0.5000 0.1253 x2  3 Li 2.70-2.72


Entry 4:
Below is Ti4Ga5Cu3 after structural relaxation, with properties calculated at the PBE-GGA level.

## Properties
As for the density of states at the Fermi level: 8.38 states/eV/f.u. The formation energy is 0.065 eV per atom. The value obtained for the total magnetic moment is 0.0 μB per formula unit.

Lattice parameters (Å, degrees): 13.3024 4.4864 9.0339 90.00 131.10 90.00
Last column: nearest neighbours and their distance in Å.
Space group C2/m (No. 12)
Symmetry-distinct sites (fractional):
Ti 0.0477 0.0000 0.4008 x4  2 Cu 2.61, 3 Ga 2.62-2.74, 2 Ti 2.79-2.80
Ti 0.2310 0.0000 0.8541 x4  1 Cu 2.53, 3 Ga 2.71-2.80, 1 Ti 2.80
Ga 0.0000 0.5000 0.0000 x2  4 Cu 2.24-2.40
Ga 0.1413 0.5000 0.6314 x4  1 Cu 2.40
Ga 0.1921 0.5000 0.3694 x4  1 Ga 2.54, 1 Cu 2.55, 2 Ti 2.62-2.80
Cu 0.0000 0.0000 0.0000 x2  2 Ga 2.24
Cu 0.0528 0.5000 0.7923 x4  3 Ga 2.40-2.55, 3 Ti 2.53-2.61


Entry 5:
Below is CrHgGe after structural relaxation, with properties calculated at the PBE-GGA level.

## Properties
As for the density of states at the Fermi level: 1.91 states/eV/f.u. The formation energy is 0.235 eV per atom. The value obtained for the total magnetic moment is 0.0 μB per formula unit.

Lattice parameters (Å, degrees): 2.9519 4.6542 9.0050 98.56 90.48 108.27
Last column: nearest neighbours and their distance in Å.
Space group P1 (No. 1)
Symmetry-distinct sites (fractional):
Cr 0.0000 0.0000 0.0000 x1  2 Cr 2.21-2.22
Cr 0.4038 0.8187 0.8250 x1  2 Cr 2.21-2.22, 1 Ge 2.37
Hg 0.5888 0.1772 0.3198 x1  5 Hg 2.95-3.27, 1 Ge 3.11, 2 Cr 3.21-3.23
Hg 0.8762 0.7758 0.5440 x1  2 Cr 2.91, 4 Hg 2.95-3.22
Ge 0.2967 0.5840 0.0810 x1  4 Cr 2.55-2.67
Ge 0.6719 0.3488 0.8076 x1  3 Cr 2.37-2.53


Entry 6:
Below is Cs2YPaS4 after structural relaxation, with properties calculated at the PBE-GGA level.

## Properties
As for the density of states at the Fermi level: 7.50 states/eV/f.u. Its uncorrected formation energy is -1618 meV/atom. The value obtained for the total magnetic moment is 1.8 μB per formula unit.

Lattice parameters (Å, degrees): 7.1049 4.0812 8.4537 90.00 106.09 90.00
Last column: nearest neighbours and their distance in Å.
Space group P2/m (No. 10)
Symmetry-distinct sites (fractional):
Cs 0.0000 0.0000 0.0000 x1  6 S 3.49-3.51
Cs 0.5000 0.5000 0.0000 x1  6 S 3.48-3.49
Y 0.0000 0.5000 0.5000 x1  6 S 2.80
Pa 0.5000 0.0000 0.5000 x1  6 S 2.78-2.79
S 0.2302 0.0000 0.6828 x2  1 Pa 2.78, 2 Y 2.80
S 0.2724 0.5000 0.3158 x2  2 Pa 2.79, 1 Y 2.80


Entry 7:
Below is ScCrPb2 after structural relaxation, with properties calculated at the PBE-GGA level.

## Properties
As for the density of states at the Fermi level: 3.94 states/eV/f.u. The formation energy is 0.354 eV per atom. The value obtained for the total magnetic moment is 4.0 μB per formula unit.

Lattice parameters (Å, degrees): 7.3711 7.3711 7.3711 90.00 90.00 90.00
Last column: nearest neighbours and their distance in Å.
Space group F-43m (No. 216)
Symmetry-distinct sites (fractional):
Sc 0.0000 0.0000 0.0000 x4  4 Cr 3.19, 4 Pb 3.19
Cr 0.2500 0.2500 0.7500 x4  4 Pb 3.19, 4 Sc 3.19
Pb 0.0000 0.0000 0.5000 x4  4 Pb 3.19, 4 Cr 3.19
Pb 0.2500 0.2500 0.2500 x4  4 Pb 3.19, 4 Sc 3.19


Entry 8:
Below is SeI after structural relaxation, with properties calculated at the PBE-GGA level.

## Properties
As for the density of states at the Fermi level: 0.87 states/eV/f.u. Its uncorrected formation energy is 139 meV/atom. The value obtained for the total magnetic moment is 0.0 μB per formula unit.

Lattice parameters (Å, degrees): 4.9572 3.2874 9.9076 90.00 97.22 90.00
Last column: nearest neighbours and their distance in Å.
Space group P2_1/m (No. 11)
Symmetry-distinct sites (fractional):
Se 0.0106 0.2500 0.4136 x2  2 Se 2.38
I 0.3265 0.7500 0.1877 x2  2 I 3.29, 2 Se 3.32


Entry 9:
Below is PuNpPaGe after structural relaxation, with properties calculated at the PBE-GGA level.

## Properties
As for the density of states at the Fermi level: 13.64 states/eV/f.u. The formation energy is 0.020 eV per atom. The value obtained for the total magnetic moment is 1.2 μB per formula unit.

Lattice parameters (Å, degrees): 6.9105 6.9105 6.9105 90.00 90.00 90.00
Last column: nearest neighbours and their distance in Å.
Space group F-43m (No. 216)
Symmetry-distinct sites (fractional):
Pu 0.0000 0.0000 0.0000 x4  4 Np 2.99, 4 Ge 2.99
Np 0.2500 0.2500 0.2500 x4  4 Pa 2.99, 4 Pu 2.99
Pa 0.0000 0.0000 0.5000 x4  4 Ge 2.99, 4 Np 2.99
Ge 0.2500 0.2500 0.7500 x4  4 Pa 2.99, 4 Pu 2.99


Entry 10:
Below is La6PmSc2 after structural relaxation, with properties calculated at the PBE-GGA level.

## Properties
As for the density of states at the Fermi level: 13.61 states/eV/f.u. The formation energy is 0.146 eV per atom. The value obtained for the total magnetic moment is 0.0 μB per formula unit.

Lattice parameters (Å, degrees): 9.3335 17.6881 3.6267 90.00 90.00 90.00
Last column: nearest neighbours and their distance in Å.
Space group Cmmm (No. 65)
Symmetry-distinct sites (fractional):
La 0.1738 0.0000 0.0000 x4  7 La 3.24-3.63, 2 Pm 3.54
La 0.1737 0.1686 0.5000 x8  4 La 3.21-3.49, 2 Sc 3.55
Pm 0.0000 0.5000 0.5000 x2  4 La 3.54, 4 Sc 3.58, 2 Pm 3.63
Sc 0.0000 0.3254 0.0000 x4  8 La 3.55-3.69, 2 Pm 3.58, 2 Sc 3.63


Entry 11:
Below is PuCdCu after structural relaxation, with properties calculated at the PBE-GGA level.

## Properties
As for the density of states at the Fermi level: 7.62 states/eV/f.u. The formation energy is 0.007 eV per atom. The value obtained for the total magnetic moment is 5.7 μB per formula unit.

Lattice parameters (Å, degrees): 4.8855 4.8855 2.9854 90.00 90.00 120.00
Last column: nearest neighbours and their distance in Å.
Space group P-6m2 (No. 187)
Symmetry-distinct sites (fractional):
Pu 0.0000 0.0000 0.0000 x1  2 Pu 2.99, 6 Cd 3.19, 6 Cu 3.19
Cd 0.3333 0.6667 0.5000 x1  3 Cu 2.82, 2 Cd 2.99
Cu 0.6667 0.3333 0.5000 x1  3 Cd 2.82, 2 Cu 2.99


Entry 12:
Below is PaGaH2 after structural relaxation, with properties calculated at the PBE-GGA level.

## Properties
As for the density of states at the Fermi level: 3.52 states/eV/f.u. The value obtained for the total DFT energy (no corrections) is -4.79 eV/atom. The value obtained for the total magnetic moment is 0.0 μB per formula unit.

Lattice parameters (Å, degrees): 3.2097 3.2097 19.1766 90.00 90.00 120.00
Last column: nearest neighbours and their distance in Å.
Space group R-3m (No. 166, hexagonal axes)
Symmetry-distinct sites (fractional):
Pa 0.0000 0.0000 0.0000 x3  6 H 2.21
Ga 0.0000 0.0000 0.5000 x3  2 H 2.00
H 0.0000 0.0000 0.3959 x6  1 Ga 2.00, 3 Pa 2.21


Entry 13:
Below is NbB after structural relaxation, with properties calculated at the PBE-GGA level.

## Properties
As for the density of states at the Fermi level: 1.09 states/eV/f.u. The formation energy is 0.557 eV per atom. The value obtained for the total magnetic moment is 0.0 μB per formula unit.

Lattice parameters (Å, degrees): 5.0160 5.0160 5.0160 90.00 90.00 90.00
Last column: nearest neighbours and their distance in Å.
Space group F-43m (No. 216)
Symmetry-distinct sites (fractional):
Nb 0.0000 0.0000 0.0000 x4  4 B 2.17
B 0.2500 0.2500 0.2500 x4  4 Nb 2.17


Entry 14:
Below is Sr2TcAg after structural relaxation, with properties calculated at the PBE-GGA level.

## Properties
As for the density of states at the Fermi level: 4.78 states/eV/f.u. The formation energy is 0.710 eV per atom. The value obtained for the total magnetic moment is 1.9 μB per formula unit.

Lattice parameters (Å, degrees): 7.4951 7.4951 7.4951 90.00 90.00 90.00
Last column: nearest neighbours and their distance in Å.
Space group F-43m (No. 216)
Symmetry-distinct sites (fractional):
Sr 0.0000 0.0000 0.0000 x4  4 Sr 3.25, 4 Ag 3.25
Sr 0.2500 0.2500 0.2500 x4  4 Tc 3.25, 4 Sr 3.25
Tc 0.0000 0.0000 0.5000 x4  4 Ag 3.25, 4 Sr 3.25
Ag 0.2500 0.2500 0.7500 x4  4 Tc 3.25, 4 Sr 3.25